No. 1
First-principles (PBE) data for a relaxed structure of Tb8Sb3Te4, as listed in the Alexandria database.

Properties
**Final energy**: -5.267 eV per atom
**Volume**: 462.80 Å³/f.u.
**Uncorrected formation energy**: -1136 meV per atom

abc: 8.676 8.676 8.667
angles: 119.87 119.87 90.08
Fractional coordinates of all 15 atoms:
1 Tb 0.240 0.240 0.995
2 Tb 0.244 0.244 0.494
3 Tb 0.245 0.755 0.000
4 Tb 0.247 0.753 0.500
5 Tb 0.753 0.247 0.500
6 Tb 0.755 0.245 0.000
7 Tb 0.756 0.756 0.506
8 Tb 0.760 0.760 0.005
9 Sb 0.000 0.000 0.500
10 Sb 0.000 0.500 0.000
11 Sb 0.500 0.000 0.000
12 Te 0.000 0.500 0.500
13 Te 0.500 0.000 0.500
14 Te 0.500 0.500 0.000
15 Te 0.500 0.500 0.500

No. 2
First-principles (PBE) data for a relaxed structure of Rb3Tc2F8, as listed in the Alexandria database.

Properties
**Final energy**: -5.054 eV per atom
**Volume**: 271.91 Å³/f.u.
**Uncorrected formation energy**: -2084 meV per atom

abc: 7.919 7.919 7.919
angles: 50.44 50.44 50.44
Fractional coordinates of all 13 atoms:
1 Rb 0.000 0.000 0.000
2 Rb 0.216 0.216 0.216
3 Rb 0.784 0.784 0.784
4 Tc 0.448 0.448 0.448
5 Tc 0.552 0.552 0.552
6 F 0.214 0.734 0.734
7 F 0.266 0.266 0.786
8 F 0.266 0.786 0.266
9 F 0.344 0.344 0.344
10 F 0.656 0.656 0.656
11 F 0.734 0.214 0.734
12 F 0.734 0.734 0.214
13 F 0.786 0.266 0.266

No. 3
First-principles (PBE) data for a relaxed structure of Pd4PtC2, as listed in the Alexandria database.

Properties
**Final energy**: -5.450 eV per atom
**Formation enthalpy at 0 K**: 1.016 eV/atom
**Volume**: 124.74 Å³/f.u.

abc: 6.245 6.245 6.245
angles: 133.80 133.80 67.40
Fractional coordinates of all 7 atoms:
1 Pd 0.000 0.500 0.500
2 Pd 0.247 0.247 0.000
3 Pd 0.500 0.000 0.500
4 Pd 0.753 0.753 0.000
5 Pt 0.500 0.500 0.000
6 C 0.063 0.063 0.000
7 C 0.937 0.937 0.000

No. 4
First-principles (PBE) data for a relaxed structure of LaPRuCl2, as listed in the Alexandria database.

Properties
**Final energy**: -4.528 eV per atom
**Volume**: 168.63 Å³/f.u.
**Uncorrected formation energy**: 134 meV per atom
**Distance to the lowest polymorph of the same formula**: 0.7843 eV/atom

abc: 5.376 5.376 5.834
angles: 90.00 90.00 90.00
Fractional coordinates of all 5 atoms:
1 La 0.000 0.000 0.000
2 P 0.000 0.000 0.500
3 Ru 0.500 0.500 0.500
4 Cl 0.000 0.500 0.000
5 Cl 0.500 0.000 0.000

No. 5
First-principles (PBE) data for a relaxed structure of PmZnSn2, as listed in the Alexandria database.

Properties
**Final energy**: -3.252 eV per atom
**Formation enthalpy at 0 K**: 0.256 eV/atom
**Volume**: 170.28 Å³/f.u.
**Distance to the lowest polymorph of the same formula**: 0.7501 eV/atom

abc: 7.748 7.748 7.748
angles: 39.61 39.61 39.61
Fractional coordinates of all 4 atoms:
1 Pm 0.000 0.000 0.000
2 Zn 0.500 0.500 0.500
3 Sn 0.376 0.376 0.376
4 Sn 0.624 0.624 0.624

No. 6
First-principles (PBE) data for a relaxed structure of Be2BiTeO8, as listed in the Alexandria database.

Properties
**Final energy**: -5.592 eV per atom
**Volume**: 141.79 Å³/f.u.
**Uncorrected formation energy**: -1080 meV per atom

abc: 4.969 4.969 6.631
angles: 90.00 90.00 120.00
Fractional coordinates of all 12 atoms:
1 Be 0.333 0.667 0.232
2 Be 0.667 0.333 0.768
3 Bi 0.000 0.000 0.500
4 Te 0.000 0.000 0.000
5 O 0.055 0.325 0.184
6 O 0.270 0.945 0.184
7 O 0.325 0.270 0.816
8 O 0.333 0.667 0.483
9 O 0.667 0.333 0.517
10 O 0.675 0.730 0.184
11 O 0.730 0.055 0.816
12 O 0.945 0.675 0.816

No. 7
First-principles (PBE) data for a relaxed structure of Tb2PmPr6Y3, as listed in the Alexandria database.

Properties
**Final energy**: -5.165 eV per atom
**Formation enthalpy at 0 K**: 0.009 eV/atom
**Volume**: 410.49 Å³/f.u.

abc: 6.341 6.341 11.977
angles: 95.05 95.05 120.01
Fractional coordinates of all 12 atoms:
1 Tb 0.167 0.833 0.000
2 Tb 0.833 0.167 0.000
3 Pm 0.500 0.500 0.000
4 Pr 0.082 0.416 0.750
5 Pr 0.250 0.250 0.250
6 Pr 0.416 0.082 0.750
7 Pr 0.584 0.918 0.250
8 Pr 0.750 0.750 0.750
9 Pr 0.918 0.584 0.250
10 Y 0.000 0.000 0.500
11 Y 0.333 0.667 0.500
12 Y 0.667 0.333 0.500

No. 8
First-principles (PBE) data for a relaxed structure of Pu4Ga2N, as listed in the Alexandria database.

Properties
**Final energy**: -10.594 eV per atom
**Volume**: 164.71 Å³/f.u.
**Uncorrected formation energy**: -351 meV per atom

abc: 8.133 8.133 8.133
angles: 146.32 146.32 48.37
Fractional coordinates of all 7 atoms:
1 Pu 0.000 0.500 0.500
2 Pu 0.168 0.168 0.000
3 Pu 0.500 0.000 0.500
4 Pu 0.832 0.832 0.000
5 Ga 0.369 0.369 0.000
6 Ga 0.631 0.631 0.000
7 N 0.000 0.000 0.000